No. 1
# GGA-PBE LiSc6O8, optimized geometry
data_LiSc6O8
_chemical_formula_sum 'Li3 Sc18 O24'
_symmetry_space_group_name_H-M 'R -3'
_symmetry_Int_Tables_number 148
_symmetry_space_group_name_Hall '-R 3'
_cell_length_a 9.3696
_cell_length_b 9.3696
_cell_length_c 8.7011
_cell_angle_alpha 90.00
_cell_angle_beta 90.00
_cell_angle_gamma 120.00
loop_
_atom_site_label
_atom_site_type_symbol
_atom_site_fract_x
_atom_site_fract_y
_atom_site_fract_z
Li1 Li 0.0000 0.0000 0.0000
Sc1 Sc 0.0133 0.8201 0.6446
O1 O 0.0000 0.0000 0.2185
O2 O 0.0114 0.7565 0.4088
# * DOS(E_F): 0.286 states/eV per atom
# * ΔE_f (raw): -45.18 eV/f.u.



No. 2
# GGA-PBE SrCa2P, optimized geometry
data_SrCa2P
_chemical_formula_sum 'Sr2 Ca4 P2'
_symmetry_space_group_name_H-M 'I -4 m 2'
_symmetry_Int_Tables_number 119
_symmetry_space_group_name_Hall 'I -4 -2'
_cell_length_a 4.7207
_cell_length_b 4.7207
_cell_length_c 10.7200
_cell_angle_alpha 90.00
_cell_angle_beta 90.00
_cell_angle_gamma 90.00
loop_
_atom_site_label
_atom_site_type_symbol
_atom_site_fract_x
_atom_site_fract_y
_atom_site_fract_z
Sr1 Sr 0.0000 0.0000 0.0000
Ca1 Ca 0.0000 0.0000 0.5000
Ca2 Ca 0.0000 0.5000 0.7500
P1 P 0.0000 0.5000 0.2500
# * DOS(E_F): 1.094 states/eV per atom
# * formation energy: -193 meV/atom



No. 3
# GGA-PBE Tl2H5Se4, optimized geometry
data_Tl2H5Se4
_chemical_formula_sum 'Tl4 H10 Se8'
_symmetry_space_group_name_H-M 'C 1 2/m 1'
_symmetry_Int_Tables_number 12
_symmetry_space_group_name_Hall '-C 2y'
_cell_length_a 13.4297
_cell_length_b 4.7029
_cell_length_c 8.4157
_cell_angle_alpha 90.00
_cell_angle_beta 122.28
_cell_angle_gamma 90.00
loop_
_atom_site_label
_atom_site_type_symbol
_atom_site_fract_x
_atom_site_fract_y
_atom_site_fract_z
Tl1 Tl 0.2437 0.0000 0.1961
H1 H 0.0000 0.0000 0.5000
H2 H 0.0165 0.2367 0.2615
Se1 Se 0.0891 0.5000 0.9448
Se2 Se 0.0990 0.0000 0.4190
# * electronic total energy: -0.238 Ry/atom
# * DOS(E_F): 0.227 states/eV per atom



No. 4
# GGA-PBE RbLiTb2F8, optimized geometry
data_RbLiTb2F8
_chemical_formula_sum 'Rb1 Li1 Tb2 F8'
_symmetry_space_group_name_H-M 'P 1 2/m 1'
_symmetry_Int_Tables_number 10
_symmetry_space_group_name_Hall '-P 2y'
_cell_length_a 6.3053
_cell_length_b 3.9494
_cell_length_c 7.5748
_cell_angle_alpha 90.00
_cell_angle_beta 99.24
_cell_angle_gamma 90.00
loop_
_atom_site_label
_atom_site_type_symbol
_atom_site_fract_x
_atom_site_fract_y
_atom_site_fract_z
Rb1 Rb 0.0000 0.0000 0.0000
Li1 Li 0.0000 0.0000 0.5000
Tb1 Tb 0.4534 0.5000 0.7391
F1 F 0.2097 0.0000 0.7003
F2 F 0.2833 0.5000 0.4555
F3 F 0.2981 0.5000 0.9855
F4 F 0.3812 0.0000 0.2390
# * DOS(E_F): 0.000 states/eV per atom
# * ΔE_f (raw): -44.05 eV/f.u.



No. 5
# GGA-PBE PuAgBr6, optimized geometry
data_PuAgBr6
_chemical_formula_sum 'Pu3 Ag3 Br18'
_symmetry_space_group_name_H-M 'R -3'
_symmetry_Int_Tables_number 148
_symmetry_space_group_name_Hall '-R 3'
_cell_length_a 6.9657
_cell_length_b 6.9657
_cell_length_c 19.0400
_cell_angle_alpha 90.00
_cell_angle_beta 90.00
_cell_angle_gamma 120.00
loop_
_atom_site_label
_atom_site_type_symbol
_atom_site_fract_x
_atom_site_fract_y
_atom_site_fract_z
Pu1 Pu 0.0000 0.0000 0.0000
Ag1 Ag 0.0000 0.0000 0.5000
Br1 Br 0.0050 0.6837 0.0824
# * DOS(E_F): 1.189 states/eV per atom
# * ΔE_f (raw): -6.89 eV/f.u.



No. 6
# GGA-PBE Pr6Te3P2Au, optimized geometry
data_Pr6Te3P2Au
_chemical_formula_sum 'Pr12 Te6 P4 Au2'
_symmetry_space_group_name_H-M 'C 1 2/m 1'
_symmetry_Int_Tables_number 12
_symmetry_space_group_name_Hall '-C 2y'
_cell_length_a 19.2798
_cell_length_b 4.3147
_cell_length_c 8.9488
_cell_angle_alpha 90.00
_cell_angle_beta 104.27
_cell_angle_gamma 90.00
loop_
_atom_site_label
_atom_site_type_symbol
_atom_site_fract_x
_atom_site_fract_y
_atom_site_fract_z
Pr1 Pr 0.0103 0.0000 0.2455
Pr2 Pr 0.1678 0.5000 0.1108
Pr3 Pr 0.1746 0.5000 0.5648
Te1 Te 0.0000 0.5000 0.5000
Te2 Te 0.1640 0.0000 0.8327
P1 P 0.1683 0.0000 0.3362
Au1 Au 0.0000 0.5000 0.0000
# * DOS(E_F): 0.499 states/eV per atom
# * ΔE_f (raw): -16.75 eV/f.u.



No. 7
# GGA-PBE TaZn2AgO6, optimized geometry
data_TaZn2AgO6
_chemical_formula_sum 'Ta2 Zn4 Ag2 O12'
_symmetry_space_group_name_H-M 'P 1 21/m 1'
_symmetry_Int_Tables_number 11
_symmetry_space_group_name_Hall '-P 2yb'
_cell_length_a 5.6499
_cell_length_b 7.4837
_cell_length_c 5.7159
_cell_angle_alpha 90.00
_cell_angle_beta 103.36
_cell_angle_gamma 90.00
loop_
_atom_site_label
_atom_site_type_symbol
_atom_site_fract_x
_atom_site_fract_y
_atom_site_fract_z
Ta1 Ta 0.0000 0.0000 0.0000
Zn1 Zn 0.0328 0.2500 0.5556
Zn2 Zn 0.4744 0.7500 0.9580
Ag1 Ag 0.5000 0.0000 0.5000
O1 O 0.1466 0.7500 0.0514
O2 O 0.1523 0.0612 0.3450
O3 O 0.2773 0.0759 0.8745
O4 O 0.3611 0.7500 0.5914
# * DOS(E_F): 0.071 states/eV per atom
# * ΔE_f (raw): -14.42 eV/f.u.



No. 8
# GGA-PBE TiFeOs3, optimized geometry
data_TiFeOs3
_chemical_formula_sum 'Ti1 Fe1 Os3'
_symmetry_space_group_name_H-M 'P m -3 m'
_symmetry_Int_Tables_number 221
_symmetry_space_group_name_Hall '-P 4 2 3'
_cell_length_a 4.3922
_cell_length_b 4.3922
_cell_length_c 4.3922
_cell_angle_alpha 90.00
_cell_angle_beta 90.00
_cell_angle_gamma 90.00
loop_
_atom_site_label
_atom_site_type_symbol
_atom_site_fract_x
_atom_site_fract_y
_atom_site_fract_z
Ti1 Ti 0.0000 0.0000 0.0000
Fe1 Fe 0.5000 0.5000 0.5000
Os1 Os 0.0000 0.5000 0.5000
# * DOS(E_F): 1.495 states/eV per atom
# * formation energy: 1352 meV/atom



> What is the DOS(E_F) in the eighth record?

1.495 states/eV per atom



> Which of these has the highest DOS(E_F)?

TiFeOs3



What did the seventh record say?
# GGA-PBE TaZn2AgO6, optimized geometry
data_TaZn2AgO6
_chemical_formula_sum 'Ta2 Zn4 Ag2 O12'
_symmetry_space_group_name_H-M 'P 1 21/m 1'
_symmetry_Int_Tables_number 11
_symmetry_space_group_name_Hall '-P 2yb'
_cell_length_a 5.6499
_cell_length_b 7.4837
_cell_length_c 5.7159
_cell_angle_alpha 90.00
_cell_angle_beta 103.36
_cell_angle_gamma 90.00
loop_
_atom_site_label
_atom_site_type_symbol
_atom_site_fract_x
_atom_site_fract_y
_atom_site_fract_z
Ta1 Ta 0.0000 0.0000 0.0000
Zn1 Zn 0.0328 0.2500 0.5556
Zn2 Zn 0.4744 0.7500 0.9580
Ag1 Ag 0.5000 0.0000 0.5000
O1 O 0.1466 0.7500 0.0514
O2 O 0.1523 0.0612 0.3450
O3 O 0.2773 0.0759 0.8745
O4 O 0.3611 0.7500 0.5914
# * DOS(E_F): 0.071 states/eV per atom
# * ΔE_f (raw): -14.42 eV/f.u.



> Among the records above, which one has the lowest DOS(E_F)?

RbLiTb2F8